A plane-wave DFT calculation with PBE was carried out for MoIr5 after structural relaxation.

Lattice parameters (Å, degrees): 2.767 5.229 6.515 76.37 90.00 74.66
Fractional positions:
Ir 0.000 0.001 0.001
Ir 0.614 0.773 0.729
Ir 0.332 0.335 0.667
Ir 0.942 0.117 0.384
Ir 0.668 0.664 0.332
Mo 0.278 0.444 0.054

The symmetry is Cm. For the offset from the most stable computed form, the calculation gives 65 meV/atom. The energy of formation from the pure elements comes out at -0.14 eV per atom. For the volume, the calculation gives 14.7 Å³/atom.